[1]
Material: Ac2ZrHgO6
Method: DFT, PBE-GGA
State: relaxed

Output
The calculation puts the density of states at the Fermi level at 0.0 states/eV/f.u. The space group is P4mm, No. 99. The total energy is -73.18 eV per cell. The calculation puts the energy relative to the elements, uncorrected at -2636 meV/atom.

Cell: 5.6667 5.6667 5.5106 Å, 90.00 90.00 90.00°
Fractional coordinates of all 10 atoms:
Ac (0.0000, 0.5000, 0.0000)
Ac (0.5000, 0.0000, 0.0000)
Zr (0.0000, 0.0000, 0.5888)
Hg (0.5000, 0.5000, 0.5251)
O (0.0000, 0.0000, 0.2224)
O (0.2371, 0.2371, 0.7395)
O (0.2371, 0.7629, 0.7395)
O (0.5000, 0.5000, 0.1388)
O (0.7629, 0.2371, 0.7395)
O (0.7629, 0.7629, 0.7395)


[2]
Material: CaLaAl
Method: DFT, PBE-GGA
State: relaxed

Output
The calculation puts the density of states at the Fermi level at 2.8 states/eV/f.u. The space group is P-1, No. 2. The total energy is -22.40 eV per cell. As for the energy above the most stable polymorph in this dataset: 0.31 eV/f.u. The formation energy comes out at -0.18 eV/atom.

Cell: 3.5305 7.2073 7.6651 Å, 103.56 103.29 90.02°
Fractional coordinates of all 6 atoms:
Ca (0.1227, 0.0629, 0.2470)
Ca (0.8773, 0.9371, 0.7530)
La (0.1596, 0.5939, 0.3186)
La (0.8404, 0.4061, 0.6814)
Al (0.4978, 0.6978, 0.9951)
Al (0.5022, 0.3022, 0.0049)